[1]
This record from the Alexandria database describes a relaxed Ba3TcRh crystal. The functional is PBE.

Unit cell a=5.9299 b=5.9299 c=5.9299 alpha=90.00 beta=90.00 gamma=90.00
Fractional coordinates of all 5 atoms:
Ba1 0.5000 0.0000 0.0000
Ba2 0.0000 0.5000 0.0000
Ba3 0.0000 0.0000 0.5000
Tc1 0.5000 0.5000 0.5000
Rh1 0.0000 0.0000 0.0000

Results
DOS at the Fermi energy ... 0.9192 states/eV/atom
Polymorph energy (0 for the lowest one) ... 0 meV/atom
V ... 209 Å³/cell

[2]
This record from the Alexandria database describes a relaxed Pm2Ge3Os2 crystal. The functional is PBE.

Unit cell a=8.7725 b=6.0040 c=6.5357 alpha=90.00 beta=66.14 gamma=90.00
Fractional coordinates of all 14 atoms:
Ge1 0.2775 0.3694 0.5983
Ge2 0.7775 0.1306 0.5983
Ge3 0.2225 0.8694 0.4017
Os1 0.4646 0.6487 0.3415
Ge4 0.7225 0.6306 0.4017
Ge5 0.0000 0.0000 0.0000
Os2 0.5354 0.3513 0.6585
Os3 0.9646 0.8513 0.3415
Pm1 0.8740 0.6047 0.7944
Os4 0.0354 0.1487 0.6585
Pm2 0.3740 0.8953 0.7944
Pm3 0.1260 0.3953 0.2056
Pm4 0.6260 0.1047 0.2056
Ge6 0.5000 0.5000 0.0000

Results
DOS at the Fermi energy ... 0.1568 states/eV/atom
V ... 315 Å³/cell
Uncorrected energy ... -6.9554 eV/atom

[3]
This record from the Alexandria database describes a relaxed NaNbSn crystal. The functional is PBE.

Unit cell a=6.1320 b=5.1451 c=9.3414 alpha=123.44 beta=111.51 gamma=32.90
Fractional coordinates of all 6 atoms:
Nb1 0.7818 0.9627 0.3631
Na1 0.9176 0.0579 0.0938
Na2 0.5828 0.0661 0.7669
Nb2 0.1432 0.8818 0.6430
Sn1 0.4671 0.9066 0.9918
Sn2 0.2453 0.0774 0.4411

Results
DOS at the Fermi energy ... 0.6540 states/eV/atom
Polymorph energy (0 for the lowest one) ... 51 meV/atom
V ... 131 Å³/cell

[4]
This record from the Alexandria database describes a relaxed RePt3 crystal. The functional is PBE.

Unit cell a=2.7041 b=5.2465 c=5.2465 alpha=117.11 beta=99.89 gamma=99.89
Fractional coordinates of all 4 atoms:
Pt1 0.0000 0.5000 0.5000
Re1 0.5000 0.0000 0.5000
Pt2 0.5000 0.5000 0.0000
Pt3 0.0000 0.0000 0.0000

Results
DOS at the Fermi energy ... 1.2393 states/eV/atom
V ... 63 Å³/cell
Uncorrected energy ... -7.3923 eV/atom

[5]
This record from the Alexandria database describes a relaxed Tb6Dy2HoTh3 crystal. The functional is PBE.

Unit cell a=6.1769 b=6.1769 c=11.7615 alpha=95.04 beta=95.04 gamma=119.97
Fractional coordinates of all 12 atoms:
Th1 0.1668 0.8332 0.5000
Tb1 0.9157 0.5824 0.7468
Tb2 0.5824 0.9157 0.7468
Dy1 0.6666 0.3334 0.0000
Tb3 0.2489 0.2489 0.7467
Dy2 0.3334 0.6666 0.0000
Tb4 0.4176 0.0843 0.2532
Th2 0.5000 0.5000 0.5000
Ho1 0.0000 0.0000 0.0000
Th3 0.8332 0.1668 0.5000
Tb5 0.0843 0.4176 0.2532
Tb6 0.7511 0.7511 0.2533

Results
DOS at the Fermi energy ... 1.4910 states/eV/atom
V ... 383 Å³/cell
Uncorrected energy ... -5.2943 eV/atom

[6]
This record from the Alexandria database describes a relaxed Mg2HgGe2 crystal. The functional is PBE.

Unit cell a=4.5866 b=4.5866 c=6.3464 alpha=68.82 beta=68.82 gamma=90.00
Fractional coordinates of all 5 atoms:
Ge1 0.3897 0.3897 0.2206
Hg1 0.0000 0.0000 0.0000
Mg1 0.2500 0.7500 0.5000
Mg2 0.7500 0.2500 0.5000
Ge2 0.6103 0.6103 0.7794

Results
DOS at the Fermi energy ... 0.5931 states/eV/atom
Polymorph energy (0 for the lowest one) ... 71 meV/atom
V ... 115 Å³/cell